Material: KNa3Ir
Method: DFT, PBE
State: optimized geometry

As for the total DFT energy (no corrections): -1.4355 eV/atom. The value obtained for the calculated volume is 29.23 A^3/atom. For the energy above the most stable polymorph in this dataset, the calculation gives 0.832 eV per atom. For the formation energy, the calculation gives 1.348 eV/atom.

The space group is Pm-3m (No. 221) and the conventional cell measures 5.2673, 5.2673 and 5.2673 Å, with angles of 90.00, 90.00 and 90.00 degrees. The asymmetric unit holds K at (0.0000, 0.0000, 0.0000), Na at (0.0000, 0.0000, 0.5000) and Ir at (0.5000, 0.5000, 0.5000).